Entry 1:
Computed, not measured: a geometry-optimized InTe3Se structure at the GGA-PBE level of DFT.

Output
Fermi-level density of states: 5.42 states/eV per cell
ΔE_f (raw): 0.719 eV per atom
ΔE to the lowest computed polymorph: 0.433 eV per atom
space group: No. 221

Cell lengths 5.626, 5.626, 5.626 Å; angles 90.00, 90.00, 90.00 degrees
Fractional positions:
In1 0.000 0.000 0.000
Te1 0.000 0.000 0.500
Te2 0.000 0.500 0.000
Te3 0.500 0.000 0.000
Se1 0.500 0.500 0.500



Entry 2:
Computed, not measured: a geometry-optimized Pm3PrRu2 structure at the GGA-PBE level of DFT.

Output
Fermi-level density of states: 6.86 states/eV per cell
electronic total energy: -6.392 eV/atom
space group: No. 12

Cell lengths 8.570, 8.570, 11.154 Å; angles 116.73, 116.73, 29.18 degrees
Fractional positions:
Pm1 0.055 0.055 0.213
Pm2 0.211 0.211 0.588
Pm3 0.328 0.328 0.963
Pm4 0.672 0.672 0.037
Pm5 0.789 0.789 0.412
Pm6 0.945 0.945 0.787
Pr1 0.426 0.426 0.329
Pr2 0.574 0.574 0.671
Ru1 0.134 0.134 0.855
Ru2 0.381 0.381 0.590
Ru3 0.619 0.619 0.410
Ru4 0.866 0.866 0.145